A crystal of CaCuO3 relaxed with PBEsol. Source: the Alexandria database, functional meta-GGA SCAN.

```
5
Lattice="4.289 0.000 0.000 0.000 4.289 0.000 0.000 0.000 4.289" Properties=species:S:1:pos:R:3 pbc="T T T"
O 2.145 0.000 0.000
Cu 2.145 2.145 2.145
O 0.000 0.000 2.145
Ca 0.000 0.000 0.000
O 0.000 2.145 0.000
```

Space group: Pm-3m
Formation energy without anion corrections, meV per atom: -102
Crystal system: cubic

***

A crystal of Ca2Cu2O5 relaxed with PBEsol. Source: the Alexandria database, functional meta-GGA SCAN.

```
36
Lattice="-1.456 -2.276 -2.222 -5.609 -3.979 7.753 -9.208 8.258 -2.424" Properties=species:S:1:pos:R:3 pbc="T T T"
O -5.579 -1.128 4.034
Cu -7.841 -2.933 3.383
O -3.878 -1.863 0.853
O -6.228 -1.183 0.682
Ca -10.616 -0.618 3.011
O -1.513 -1.574 -1.082
O -7.529 2.175 1.775
Ca -4.783 -3.253 4.641
O -8.598 -1.488 2.595
Cu -7.898 -4.119 5.866
Cu -9.098 3.045 2.067
Ca -3.926 2.488 -0.929
O -8.779 -2.774 4.947
Ca -7.574 1.743 -0.503
O -6.821 4.066 -0.537
O -13.130 3.313 3.402
O -6.965 -4.293 4.299
O -5.564 0.861 -0.932
O -9.832 2.358 -0.700
O -4.553 -3.931 2.436
Ca -6.954 0.148 2.606
O -8.216 5.424 -2.029
Ca -11.548 3.854 -0.086
O -12.320 0.863 3.660
O -3.090 0.367 -0.325
Cu -6.610 4.539 -2.294
O -9.908 1.635 2.909
Cu -11.578 2.432 3.091
Cu -5.410 -2.626 1.505
Ca -14.577 1.514 3.449
Cu -4.703 -0.422 0.015
O -10.096 5.662 -0.125
Ca -1.741 -0.892 1.127
O -10.569 -0.182 5.293
Cu -8.440 4.943 -0.278
O -10.766 3.832 2.235
```

Space group: Pna2_1
Formation energy without anion corrections, meV per atom: -1904
Crystal system: orthorhombic

***

A crystal of Ca2CuO3 relaxed with PBEsol. Source: the Alexandria database, functional meta-GGA SCAN.

```
6
Lattice="-2.300 2.268 -0.088 -1.387 -1.280 3.270 5.444 3.273 1.410" Properties=species:S:1:pos:R:3 pbc="T T T"
O 0.462 0.568 2.598
Ca 1.833 2.004 3.741
O 0.000 0.000 0.000
Ca -0.077 2.257 0.851
O 1.295 3.692 1.995
Cu -0.693 -0.640 1.635
```

Space group: Immm
Formation energy without anion corrections, meV per atom: -2429
Crystal system: orthorhombic

***

A crystal of CaCu2O3 relaxed with PBEsol. Source: the Alexandria database, functional meta-GGA SCAN.

```
12
Lattice="-1.153 -2.710 -1.968 3.710 -0.421 -1.593 2.428 -6.360 7.334" Properties=species:S:1:pos:R:3 pbc="T T T"
O 3.358 -4.715 3.894
O -0.636 -3.498 -0.556
Ca 2.351 -5.079 1.644
O 0.986 -7.746 4.342
Cu 2.878 -7.886 3.614
O 0.793 -4.169 2.949
O 1.123 -1.931 -2.047
Cu 0.666 -2.480 2.207
Cu 1.250 -3.620 -1.305
Ca -0.435 -1.022 -0.742
O 2.552 -2.602 1.458
Cu 1.466 -4.575 4.622
```

Space group: Pmmn
Formation energy without anion corrections, meV per atom: -1558
Crystal system: orthorhombic

***

A crystal of Ca4Cu5O10 relaxed with PBEsol. Source: the Alexandria database, functional meta-GGA SCAN.

```
38
Lattice="6.356 0.000 0.000 0.000 8.652 0.012 0.000 -2.248 8.355" Properties=species:S:1:pos:R:3 pbc="T T T"
O 2.939 3.483 2.374
O 3.417 2.921 5.993
Cu 6.100 6.447 1.700
O 3.178 5.655 7.388
Cu 3.325 -1.135 7.504
O 2.793 5.693 0.592
O 5.971 4.535 1.478
O 2.793 7.320 2.718
Ca 1.589 0.893 2.634
Ca 4.767 5.511 5.734
O 6.117 -0.281 1.809
Cu 0.256 -0.042 6.667
Cu 0.000 0.000 0.000
O 3.417 1.382 3.983
Ca 1.589 6.861 4.701
O 3.563 -0.915 5.650
O 0.000 3.952 5.163
O 6.117 4.585 8.166
O 3.563 0.712 7.775
Cu 6.209 4.315 3.332
Cu 2.922 5.408 2.496
Ca 4.767 2.746 7.850
Ca 4.767 2.309 1.550
O 2.939 5.022 4.385
O 0.000 2.452 3.204
Cu 0.147 2.090 5.035
Ca 4.767 -0.456 3.666
Cu 3.434 0.997 5.872
Ca 1.589 3.658 0.517
O 0.239 6.686 6.558
O 0.239 1.820 0.201
O 0.385 0.243 4.764
Cu 3.031 7.540 0.864
O 3.178 0.750 0.980
O 5.971 6.162 3.604
Ca 1.589 4.096 6.817
Cu 3.178 3.202 4.184
O 0.385 1.870 6.889
```

Space group: Cmce
Formation energy without anion corrections, meV per atom: -1853
Crystal system: orthorhombic

***

A crystal of CaCuP4O12 relaxed with PBEsol. Source: the Alexandria database, functional meta-GGA SCAN.

```
36
Lattice="7.507 -0.095 -0.026 -2.382 7.120 0.026 -3.719 -2.669 8.546" Properties=species:S:1:pos:R:3 pbc="T T T"
P 3.827 4.946 0.254
O -2.272 2.920 2.739
P -4.209 3.084 5.980
O -3.693 3.610 7.269
O -3.696 -1.195 7.856
P 1.392 4.353 1.694
O -0.800 3.073 7.887
O 2.442 1.110 3.600
O -0.395 1.228 2.814
O 1.801 3.128 5.732
O 4.930 0.582 3.835
P -2.422 -0.590 8.293
O 1.048 3.702 2.983
O 0.801 5.737 1.472
O 0.462 0.866 8.121
P 3.478 0.488 4.514
O 5.102 5.551 0.691
O -1.884 5.266 3.595
O 0.358 0.654 5.564
O 2.986 4.466 1.547
Ca 1.222 -0.314 2.130
O -1.580 -0.110 7.000
P 0.014 0.003 6.852
O 0.944 3.490 0.425
P -2.072 3.868 4.032
P 5.614 1.272 2.566
O -3.524 3.774 4.711
O 5.099 0.746 1.277
O -1.036 3.246 4.946
O 0.605 -1.380 7.074
Cu 0.703 2.178 4.273
O 3.678 1.436 5.807
O 3.290 -0.910 4.951
Cu 3.754 -0.048 -0.013
O 2.206 1.283 0.660
Ca 0.184 4.671 6.416
```

Space group: C2/c
Formation energy without anion corrections, meV per atom: -2403
Crystal system: monoclinic

***

A crystal of CaCuP2O7 relaxed with PBEsol. Source: the Alexandria database, functional meta-GGA SCAN.

```
22
Lattice="6.188 0.012 0.092 0.824 6.301 -0.015 0.392 2.566 6.574" Properties=species:S:1:pos:R:3 pbc="T T T"
O 2.587 2.480 5.419
O 4.817 6.398 1.233
O 6.418 2.485 4.894
O 1.867 1.985 1.611
P 4.689 5.745 4.481
P 5.929 5.495 1.805
O 3.343 6.183 3.938
Ca 5.520 2.088 0.987
P 1.475 3.384 4.847
O 2.821 4.301 1.155
O 1.865 3.808 3.370
Cu 4.485 2.595 5.026
O 5.536 6.894 5.041
O 4.583 4.577 5.497
O 1.215 4.654 5.611
O 0.985 6.394 1.757
O 6.189 4.225 1.041
P 2.715 3.133 2.171
Ca 1.884 6.791 5.665
O 5.539 5.071 3.282
Cu 2.919 6.283 1.625
O 4.060 2.695 2.714
```

Space group: P-1
Formation energy without anion corrections, meV per atom: -2462
Crystal system: triclinic
E above lowest polymorph, meV/atom: 0

***

A crystal of CaCu3P3O13 relaxed with PBEsol. Source: the Alexandria database, functional meta-GGA SCAN.

```
40
Lattice="-3.361 1.146 -4.971 -4.081 -6.004 1.375 -5.336 6.843 5.184" Properties=species:S:1:pos:R:3 pbc="T T T"
O -5.446 -1.732 2.848
O -5.597 -3.552 -1.088
O -6.399 -1.254 -1.593
P -5.870 -2.570 -2.254
O -6.379 3.238 3.182
O -4.799 3.157 -1.658
O -5.769 5.056 4.765
O -7.180 5.537 2.677
O -2.897 -0.455 1.448
O -9.880 2.439 0.141
O -4.214 -0.006 -0.500
Cu 0.000 0.000 0.000
O -9.285 1.217 4.681
O -10.903 1.050 1.983
Cu -7.757 1.313 3.670
Cu -7.879 -0.836 -0.496
O -3.493 0.768 -3.092
Cu -1.680 0.573 -2.486
O -8.563 1.990 2.089
O -4.634 -2.177 -2.999
O -6.737 -1.292 0.939
O -1.874 0.935 -0.394
O -7.009 -3.071 -3.176
O -8.143 4.161 4.588
O -6.389 0.617 2.585
P -6.907 4.554 3.842
O -6.389 1.368 -0.996
O -6.040 3.277 0.650
Ca -4.583 -2.334 0.684
O -9.198 -0.045 0.578
O -7.331 3.716 -1.259
O -7.978 -1.173 3.247
Cu -5.020 0.671 -2.082
P -3.168 0.673 0.420
P -6.717 -0.905 2.456
P -9.609 1.312 1.168
Ca -8.194 4.319 0.905
O -3.579 2.030 1.011
P -6.060 2.889 -0.868
Cu -4.899 2.820 2.085
```

Space group: P2_1/m
Formation energy without anion corrections, meV per atom: -1868
Crystal system: monoclinic